Compound: GaTc3Br
Source: the Alexandria database
Functional: PBE
Structure: relaxed

Cell and atoms, written as POSCAR:
```
GaTc3Br
1.0
-2.138 4.007 -0.233
-4.004 -2.147 -0.191
-0.278 0.115 4.537
Tc Br Ga
3 1 1
direct
0.500 0.000 0.000
0.000 0.500 0.000
0.000 0.000 0.500
0.000 0.000 0.000
0.500 0.500 0.500
```

Summary:
magnetization = 1.52 μB/f.u.
distance to the lowest polymorph of the same formula = 0 meV per atom

***

Compound: YGaTcBr2
Source: the Alexandria database
Functional: PBE
Structure: relaxed

Cell and atoms, written as POSCAR:
```
YGaTcBr2
1.0
-3.115 -2.770 2.875
3.837 -1.807 2.417
-0.307 3.802 3.330
Tc Br Y Ga
1 2 1 1
direct
0.000 0.000 0.000
0.500 0.000 0.000
0.000 0.000 0.500
0.500 0.500 0.500
0.000 0.500 0.000
```

Summary:
magnetization = 0.71 μB/f.u.
raw total energy = -4.432 eV per atom

***

Compound: GaTeBr2
Source: the Alexandria database
Functional: PBE
Structure: relaxed

Cell and atoms, written as POSCAR:
```
GaTeBr2
1.0
-2.326 7.924 0.364
-7.832 -2.354 1.200
-4.536 2.782 4.321
Br Ga Te
4 2 2
direct
0.875 0.877 0.750
0.375 0.373 0.750
0.123 0.625 0.250
0.627 0.125 0.250
0.250 0.750 0.500
0.500 0.500 0.000
0.000 0.000 0.000
0.750 0.250 0.500
```

Summary:
magnetization = 0.00 μB/f.u.
distance to the lowest polymorph of the same formula = 203 meV per atom